DFT (PBE+U) results for a geometry-optimized VBI2O structure.

a b c (Å): 5.6959 5.6959 3.0739
angles (deg): 90.00 90.00 90.00
Closest atoms and distances in Å follow each position.
Sites, in units of the cell vectors:
I (0.5000, 0.0000, 0.0000)  2 B 2.85, 2 I 3.07
I (0.0000, 0.5000, 0.0000)  2 B 2.85, 2 I 3.07
V (0.5000, 0.5000, 0.5000)  2 V 3.07, 8 I 3.24
O (0.0000, 0.0000, 0.5000)  2 B 1.54
B (0.0000, 0.0000, 0.0000)  2 O 1.54

* space group: P4/mmm, No. 123
* energy relative to the lowest polymorph listed for this composition: 92 meV per atom
* total energy: -0.14767 Ha/atom
* DOS at the Fermi energy: 0.3879 states/eV/atom
* calculated density: 5.5 Mg/m³